# 1
Compound: HgTe2OsN
Source: Alexandria
Functional: PBE
Structure: relaxed

Calculated values
The calculation puts the uncorrected formation energy at 2108 meV per atom. The density of states at the Fermi level comes out at 5.209 states/eV per cell. For the total energy, the calculation gives -15.60 eV/cell.

Lattice parameters (Å, degrees): 5.5861 5.5861 3.9219 90.00 90.00 90.00
Closest atoms and distances in Å follow each position.
Space group P4/mmm (No. 123)
One atom of each set of equivalent atoms:
1 Hg 0.0000 0.0000 0.0000 [1 per cell]  2 N 1.96
2 Te 0.0000 0.5000 0.0000 [2 per cell]  2 Hg 2.79
3 Os 0.5000 0.5000 0.5000 [1 per cell]  8 Te 3.41
4 N 0.0000 0.0000 0.5000 [1 per cell]  2 Hg 1.96


# 2
Compound: Ca2TmUO6
Source: Alexandria
Functional: PBE
Structure: relaxed

Calculated values
The calculation puts the uncorrected formation energy at -3310 meV per atom. For the total energy, the calculation gives -247.84 eV/cell.

Lattice parameters (Å, degrees): 5.8348 5.8348 14.9798 90.00 90.00 120.00
Closest atoms and distances in Å follow each position.
Space group R3 (No. 146, hexagonal axes)
One atom of each set of equivalent atoms:
1 Ca 0.0000 0.0000 0.0000 [3 per cell]  6 O 2.34-2.50
2 Ca 0.0000 0.0000 0.4969 [3 per cell]  6 O 2.35-2.53
3 Tm 0.0000 0.0000 0.2192 [3 per cell]  6 O 2.21-2.29
4 U 0.0000 0.0000 0.7157 [3 per cell]  6 O 2.16-2.18
5 O 0.0608 0.3485 0.7866 [9 per cell]  1 U 2.16, 1 Tm 2.29, 1 Ca 2.35
6 O 0.0657 0.7040 0.2896 [9 per cell]  1 U 2.18, 1 Tm 2.21, 1 Ca 2.34


# 3
Compound: InHgPO2
Source: Alexandria
Functional: PBE
Structure: relaxed

Calculated values
The calculation puts the uncorrected formation energy at 454 meV per atom. The density of states at the Fermi level comes out at 5.637 states/eV per cell. For the total energy, the calculation gives -16.10 eV/cell.

Lattice parameters (Å, degrees): 4.1762 4.1762 5.2080 90.00 90.00 90.00
Closest atoms and distances in Å follow each position.
Space group P4/mmm (No. 123)
One atom of each set of equivalent atoms:
1 In 0.0000 0.0000 0.0000 [1 per cell]  4 P 2.95
2 Hg 0.5000 0.5000 0.5000 [1 per cell]  4 O 2.09
3 P 0.5000 0.5000 0.0000 [1 per cell]  2 Hg 2.60
4 O 0.0000 0.5000 0.5000 [2 per cell]  2 Hg 2.09


# 4
Compound: TmBeZn2Pd4
Source: Alexandria
Functional: PBE
Structure: relaxed

Calculated values
The density of states at the Fermi level comes out at 9.664 states/eV per cell. For the total energy, the calculation gives -109.63 eV/cell. The energy relative to the elements is -0.628 eV/atom.

Lattice parameters (Å, degrees): 4.3874 4.3874 22.2186 90.00 90.00 120.00
Closest atoms and distances in Å follow each position.
Space group R-3m (No. 166, hexagonal axes)
One atom of each set of equivalent atoms:
1 Tm 0.0000 0.0000 0.0000 [3 per cell]  8 Pd 2.90-2.92, 6 Zn 3.15
2 Be 0.0000 0.0000 0.5000 [3 per cell]  2 Pd 2.29
3 Zn 0.0000 0.0000 0.2489 [6 per cell]  7 Pd 2.58-2.74
4 Pd 0.0000 0.0000 0.1316 [6 per cell]  4 Zn 2.60-2.74, 3 Be 2.65
5 Pd 0.0000 0.0000 0.3968 [6 per cell]  1 Be 2.29


# 5
Compound: TeSeCl
Source: Alexandria
Functional: PBE
Structure: relaxed

Calculated values
The calculation puts the uncorrected formation energy at -178 meV per atom. For the total energy, the calculation gives -18.01 eV/cell.

Lattice parameters (Å, degrees): 5.3096 6.5213 6.8600 80.05 81.47 73.17
Closest atoms and distances in Å follow each position.
Space group P1 (No. 1)
One atom of each set of equivalent atoms:
1 Te 0.0000 0.0000 0.0000 [1 per cell]  1 Cl 2.43
2 Te 0.2286 0.5514 0.1476 [1 per cell]  2 Se 2.62-2.68, 1 Te 2.89
3 Se 0.5089 0.5264 0.4387 [1 per cell]  1 Se 2.35, 1 Te 2.62
4 Se 0.7928 0.7531 0.3639 [1 per cell]  1 Se 2.35
5 Cl 0.3604 0.0667 0.7584 [1 per cell]  1 Te 2.43
6 Cl 0.7431 0.4293 0.9083 [1 per cell]  2 Te 2.74-2.94


# 6
Compound: CuMoP2Rh
Source: Alexandria
Functional: PBE
Structure: relaxed

Calculated values
The density of states at the Fermi level comes out at 4.702 states/eV per cell. For the total energy, the calculation gives -28.27 eV/cell. The energy relative to the elements is 0.966 eV/atom.

Lattice parameters (Å, degrees): 4.5599 4.5599 4.6881 90.00 90.00 90.00
Closest atoms and distances in Å follow each position.
Space group P4/mmm (No. 123)
One atom of each set of equivalent atoms:
1 Cu 0.0000 0.0000 0.0000 [1 per cell]  2 Mo 2.34
2 Mo 0.0000 0.0000 0.5000 [1 per cell]  4 P 2.28, 2 Cu 2.34
3 P 0.0000 0.5000 0.5000 [2 per cell]  2 Mo 2.28
4 Rh 0.5000 0.5000 0.0000 [1 per cell]  4 Cu 3.22, 8 P 3.27


# 7
Compound: CaCuCBr
Source: Alexandria
Functional: PBE
Structure: relaxed

Calculated values
The calculation puts the uncorrected formation energy at 131 meV per atom. The density of states at the Fermi level comes out at 4.092 states/eV per cell. For the total energy, the calculation gives -32.94 eV/cell.

Lattice parameters (Å, degrees): 13.6509 3.2977 3.4587 90.00 90.08 90.00
Closest atoms and distances in Å follow each position.
Space group Cm (No. 8)
One atom of each set of equivalent atoms:
1 Ca 0.0000 0.0000 0.0000 [2 per cell]  4 C 2.75-2.77, 2 Cu 2.94, 4 Br 3.07
2 Cu 0.3257 0.5000 0.4997 [2 per cell]  2 C 1.93
3 C 0.3986 0.0000 0.5030 [2 per cell]  2 Cu 1.93
4 Br 0.1414 0.5000 0.5003 [2 per cell]  1 Cu 2.52


# 8
Compound: Th2TlP2N6
Source: Alexandria
Functional: PBE
Structure: relaxed

Calculated values
The calculation puts the uncorrected formation energy at -745 meV per atom. The density of states at the Fermi level comes out at 5.855 states/eV per cell. For the total energy, the calculation gives -172.34 eV/cell.

Lattice parameters (Å, degrees): 10.7542 6.7169 6.6319 90.00 121.06 90.00
Closest atoms and distances in Å follow each position.
Space group C2/m (No. 12)
One atom of each set of equivalent atoms:
1 Th 0.1851 0.0000 0.3106 [4 per cell]  6 N 2.35-2.57
2 Tl 0.0000 0.5000 0.0000 [2 per cell]  2 P 3.06, 4 N 3.14
3 P 0.1691 0.0000 0.7614 [4 per cell]  3 N 1.59-1.60
4 N 0.0750 0.0000 0.8833 [4 per cell]  1 P 1.59
5 N 0.1980 0.1952 0.6539 [8 per cell]  1 P 1.60


# 9
Compound: CeSm2Hf
Source: Alexandria
Functional: PBE
Structure: relaxed

Calculated values
The density of states at the Fermi level comes out at 5.946 states/eV per cell. For the total energy, the calculation gives -24.54 eV/cell. The energy relative to the elements is 0.195 eV/atom.

Lattice parameters (Å, degrees): 4.8737 4.8737 4.9014 90.00 90.00 90.00
Closest atoms and distances in Å follow each position.
Space group P4/mmm (No. 123)
One atom of each set of equivalent atoms:
1 Ce 0.0000 0.0000 0.0000 [1 per cell]  4 Hf 3.45, 8 Sm 3.46
2 Sm 0.0000 0.5000 0.5000 [2 per cell]  4 Sm 3.45, 4 Hf 3.46, 4 Ce 3.46
3 Hf 0.5000 0.5000 0.0000 [1 per cell]  4 Ce 3.45, 8 Sm 3.46


# 10
Compound: Tb2Ho9Er
Source: Alexandria
Functional: PBE
Structure: relaxed

Calculated values
The density of states at the Fermi level comes out at 17.361 states/eV per cell. For the total energy, the calculation gives -54.76 eV/cell. The energy relative to the elements is 0.022 eV/atom.

Lattice parameters (Å, degrees): 4.9809 4.9809 14.9348 90.00 90.00 90.00
Closest atoms and distances in Å follow each position.
Space group P4/mmm (No. 123)
One atom of each set of equivalent atoms:
1 Tb 0.0000 0.0000 0.1670 [2 per cell]  12 Ho 3.52-3.53
2 Ho 0.0000 0.5000 0.0000 [2 per cell]  8 Ho 3.52-3.53, 4 Tb 3.52
3 Ho 0.0000 0.5000 0.3341 [4 per cell]  8 Ho 3.51-3.52, 2 Er 3.51, 2 Tb 3.53
4 Ho 0.5000 0.5000 0.1671 [2 per cell]  4 Tb 3.52, 8 Ho 3.52-3.53
5 Ho 0.5000 0.5000 0.5000 [1 per cell]  8 Ho 3.51, 4 Er 3.52
6 Er 0.0000 0.0000 0.5000 [1 per cell]  12 Ho 3.51-3.52


# 11
Compound: Nb2H2Rh
Source: Alexandria
Functional: PBE
Structure: relaxed

Calculated values
The density of states at the Fermi level comes out at 4.767 states/eV per cell. For the total energy, the calculation gives -68.70 eV/cell.

Lattice parameters (Å, degrees): 6.2605 6.2605 2.8456 90.00 90.00 90.00
Closest atoms and distances in Å follow each position.
Space group P4/mbm (No. 127)
One atom of each set of equivalent atoms:
1 Nb 0.1550 0.3450 0.0000 [4 per cell]  6 H 2.24-2.46
2 H 0.1188 0.6188 0.5000 [4 per cell]  1 H 2.10, 4 Nb 2.24
3 Rh 0.0000 0.0000 0.5000 [2 per cell]  4 H 2.50, 8 Nb 2.76


# 12
Compound: Cu9Ge4Pt11
Source: Alexandria
Functional: PBE
Structure: relaxed

Calculated values
The density of states at the Fermi level comes out at 18.418 states/eV per cell. For the total energy, the calculation gives -253.25 eV/cell. The energy relative to the elements is -0.202 eV/atom.

Lattice parameters (Å, degrees): 12.6405 19.5783 2.8149 90.00 90.00 90.00
Closest atoms and distances in Å follow each position.
Space group Cmmm (No. 65)
One atom of each set of equivalent atoms:
1 Cu 0.0000 0.0000 0.0000 [2 per cell]  4 Pt 2.69, 2 Cu 2.81, 4 Ge 2.87
2 Cu 0.1044 0.2236 0.0000 [8 per cell]  3 Cu 2.64-2.81, 8 Pt 2.65-2.84, 1 Ge 2.66
3 Cu 0.1058 0.4099 0.0000 [8 per cell]  8 Pt 2.62-2.78, 3 Cu 2.67-2.81, 1 Ge 2.79
4 Ge 0.1733 0.0949 0.0000 [8 per cell]  6 Pt 2.56-2.64, 2 Cu 2.66-2.79, 2 Ge 2.81
5 Pt 0.0000 0.1170 0.5000 [4 per cell]  4 Ge 2.64, 6 Cu 2.69-2.84, 2 Pt 2.81
6 Pt 0.0000 0.3161 0.5000 [4 per cell]  8 Cu 2.65-2.67, 4 Pt 2.80-2.81
7 Pt 0.0000 0.5000 0.5000 [2 per cell]  8 Cu 2.62, 2 Pt 2.81
8 Pt 0.2214 0.3193 0.5000 [8 per cell]  2 Ge 2.56, 6 Cu 2.70-2.77, 4 Pt 2.80-2.81
9 Pt 0.2345 0.5000 0.5000 [4 per cell]  4 Ge 2.61, 4 Cu 2.78, 2 Pt 2.81